18
Lattice="5.7210 0.0000 0.0000 -2.8605 4.9545 0.0000 0.0000 0.0000 9.4346" Properties=species:S:1:pos:R:3 comment="YHoNpO6 | the Alexandria database | PBE-GGA | optimized geometry" sg="P-31c (163)" e_form_raw_ev_per_atom=-3.206 pbc="T T T"
Y 0.0000 0.0000 0.0000
Y 0.0000 0.0000 4.7173
Ho 0.0000 3.3030 2.3586
Ho 2.8605 1.6515 7.0759
Np 0.0000 3.3030 7.0759
Np 2.8605 1.6515 2.3586
O -0.8818 1.7679 5.9800
O -1.7703 3.3070 8.1719
O 0.8818 1.7679 8.1719
O -0.8886 4.8342 5.9800
O 1.9719 0.1203 1.2627
O 1.0902 1.6476 3.4546
O 1.7703 3.3070 5.9800
O 0.8886 4.8342 8.1719
O 3.7491 0.1203 3.4546
O 1.9787 3.1867 1.2627
O 4.6309 1.6476 1.2627
O 3.7423 3.1867 3.4546


18
Lattice="5.6374 0.0000 0.0000 -2.8187 4.8821 0.0000 0.0000 0.0000 9.1677" Properties=species:S:1:pos:R:3 comment="HoZrNpO6 | the Alexandria database | PBE-GGA | optimized geometry" sg="P-31c (163)" e_form_raw_ev_per_atom=-3.106 pbc="T T T"
Ho 0.0000 3.2548 2.2919
Ho 2.8187 1.6274 6.8758
Zr 0.0000 0.0000 0.0000
Zr 0.0000 0.0000 4.5839
Np 0.0000 3.2548 6.8758
Np 2.8187 1.6274 2.2919
O -0.8395 1.6194 5.7547
O -1.8360 3.3454 7.9969
O 0.8395 1.6194 7.9969
O -0.9965 4.7994 5.7547
O 1.8222 0.0827 1.1709
O 0.9827 1.5367 3.4130
O 1.8360 3.3454 5.7547
O 0.9965 4.7994 7.9969
O 3.8152 0.0827 3.4130
O 1.9792 3.2627 1.1709
O 4.6547 1.5367 1.1709
O 3.6582 3.2627 3.4130


4
Lattice="3.3793 0.0000 0.0000 0.0000 3.3793 0.0000 0.0000 0.0000 6.8276" Properties=species:S:1:pos:R:3 comment="HoNpOs2 | the Alexandria database | PBE-GGA | optimized geometry" sg="P4/mmm (123)" ef_ev_per_fu=-0.134 polymorph_energy_ev_per_atom=0.000 pbc="T T T"
Ho 0.0000 0.0000 0.0000
Np 0.0000 0.0000 3.4138
Os 1.6896 1.6896 1.8389
Os 1.6896 1.6896 4.9887